Entry from Alexandria: a relaxed structure of NaCrTc (GGA-PBE).

Structure (extended XYZ):
```
6
Lattice="2.8286 0.0000 0.0000 0.0000 3.9461 0.0000 -0.5413 0.0000 10.5979" Properties=species:S:1:pos:R:3 pbc="T T T"
Na 0.0000 0.0000 0.0000
Na 0.9259 1.9730 7.6231
Cr 1.1306 1.9730 2.3979
Cr 1.0808 1.9730 4.5323
Tc 2.4636 0.0000 2.9617
Tc 2.3756 0.0000 5.3818
```

Output
The formation energy comes out at 1.372 eV/f.u. The calculation puts the energy above the most stable polymorph in this dataset at 0.065 eV/atom.

Entry from Alexandria: a relaxed structure of NaCrTc (GGA-PBE).

Structure (extended XYZ):
```
6
Lattice="2.9875 0.0000 0.0000 0.0000 2.9874 0.0000 -0.0812 0.0000 12.5170" Properties=species:S:1:pos:R:3 pbc="T T T"
Na 0.0000 0.0000 0.0000
Na 1.4089 1.4937 3.2612
Cr 1.4141 1.4937 10.0504
Cr 2.9076 0.0000 8.8501
Tc 1.4119 1.4937 7.1330
Tc 2.9052 0.0000 5.6973
```

Output
The formation energy comes out at 1.177 eV/f.u. The calculation puts the energy above the most stable polymorph in this dataset at 0.000 eV/atom.